Material: In4As2W
Method: DFT, GGA-PBE
State: relaxed

Cell: 5.405 5.405 7.946 Å, 70.12 70.12 90.00°
Element x y z (fractional)
As1 0.385 0.385 0.230
In1 0.000 0.500 0.000
W1 0.000 0.000 0.000
In2 0.806 0.806 0.388
As2 0.615 0.615 0.770
In3 0.500 0.000 0.000
In4 0.194 0.194 0.612

Calculated values
Final energy = -4.042 eV per atom
Total magnetization = 0.14 μB/atom

Material: In4AsW
Method: DFT, GGA-PBE
State: relaxed

Cell: 5.733 5.733 5.733 Å, 60.00 60.00 60.00°
Element x y z (fractional)
As1 0.000 0.000 0.000
In1 0.375 0.874 0.375
In2 0.375 0.375 0.375
W1 0.750 0.750 0.750
In3 0.874 0.375 0.375
In4 0.375 0.375 0.874

Calculated values
Final energy = -3.844 eV per atom
Total magnetization = 0.00 μB/atom

Material: In2AsW
Method: DFT, GGA-PBE
State: relaxed

Cell: 3.029 3.029 10.404 Å, 90.00 90.00 111.79°
Element x y z (fractional)
W1 0.000 0.000 0.514
In1 0.000 0.000 0.007
In2 0.500 0.500 0.285
As1 0.500 0.500 0.694

Calculated values
Final energy = -5.430 eV per atom
Total magnetization = 0.00 μB/atom

Material: In2AsW
Method: DFT, GGA-PBE
State: relaxed

Cell: 3.120 5.532 5.914 Å, 52.30 90.00 90.00°
Element x y z (fractional)
In1 0.000 0.000 0.000
In2 0.500 0.500 0.000
W1 0.500 0.500 0.500
As1 0.000 0.000 0.500

Calculated values
Final energy = -5.098 eV per atom
Total magnetization = 0.00 μB/atom

Material: InAs2W
Method: DFT, GGA-PBE
State: relaxed

Cell: 8.397 8.397 8.397 Å, 158.03 156.75 32.21°
Element x y z (fractional)
W1 0.202 0.702 0.500
As1 0.082 0.082 0.000
In1 0.440 0.440 0.000
As2 0.776 0.276 0.500

Calculated values
Final energy = -6.050 eV per atom
Total magnetization = 0.00 μB/atom

Material: In2AsW
Method: DFT, GGA-PBE
State: relaxed

Cell: 10.222 10.222 10.222 Å, 17.10 17.10 17.10°
Element x y z (fractional)
In1 0.504 0.504 0.504
In2 0.996 0.996 0.996
W1 0.250 0.250 0.250
As1 0.750 0.750 0.750

Calculated values
Final energy = -5.225 eV per atom
Total magnetization = 0.00 μB/atom

Material: InAs2W
Method: DFT, GGA-PBE
State: relaxed

Cell: 2.977 2.977 9.812 Å, 90.00 90.00 106.77°
Element x y z (fractional)
In1 0.000 0.000 0.518
W1 0.500 0.500 0.753
As1 0.000 0.000 0.941
As2 0.500 0.500 0.288

Calculated values
Final energy = -5.798 eV per atom
Total magnetization = 0.00 μB/atom

Material: In2AsW
Method: DFT, GGA-PBE
State: relaxed

Cell: 2.927 4.667 5.781 Å, 90.00 90.00 90.00°
Element x y z (fractional)
In1 0.000 0.000 0.495
As1 0.500 0.500 0.750
W1 0.500 0.500 0.250
In2 0.000 0.000 0.005

Calculated values
Final energy = -5.135 eV per atom
Total magnetization = 0.00 μB/atom